A geometry-optimized BiCSN2 structure. Source: Alexandria, functional GGA-PBE.

Cell: 3.917 3.917 3.851 Å, 90.00 90.00 90.00°
Space group P4/mmm (No. 123)
Unique sites:
Bi: 0.000 0.000 0.000 x1
C: 0.500 0.500 0.500 x1
S: 0.500 0.500 0.000 x1
N: 0.000 0.500 0.500 x2

Results
energy above the most stable polymorph in this dataset = 0 meV/atom
M_tot = 0.0 μB per formula unit
E = -23.9 eV for the cell shown